# 1
Compound: NbTl
Source: Alexandria via LeMat-Bulk
Functional: PBE-GGA
Structure: relaxed

Cell: 5.403 6.085 10.286 Å, 90.00 90.00 90.00°
Positions (direct):
1 Nb 0.151 0.239 0.388
2 Nb 0.154 0.022 0.626
3 Nb 0.346 0.978 0.126
4 Nb 0.349 0.761 0.888
5 Nb 0.651 0.261 0.612
6 Nb 0.654 0.478 0.374
7 Nb 0.846 0.522 0.874
8 Nb 0.849 0.739 0.112
9 Tl 0.131 0.745 0.371
10 Tl 0.140 0.507 0.630
11 Tl 0.360 0.493 0.130
12 Tl 0.369 0.255 0.871
13 Tl 0.631 0.755 0.629
14 Tl 0.640 0.993 0.370
15 Tl 0.860 0.007 0.870
16 Tl 0.869 0.245 0.129

- calculated total energy (eV per atom) = -5.756
- M_tot (μB/atom) = 0.000
- E_form (meV per atom) = 462
- space-group type = No. 19

# 2
Compound: NbTl
Source: Alexandria via LeMat-Bulk
Functional: PBE-GGA
Structure: relaxed

Cell: 8.831 8.831 8.831 Å, 90.00 90.00 90.00°
Positions (direct):
1 Nb 0.106 0.106 0.106
2 Nb 0.106 0.894 0.894
3 Nb 0.394 0.394 0.606
4 Nb 0.394 0.606 0.394
5 Nb 0.606 0.394 0.394
6 Nb 0.606 0.606 0.606
7 Nb 0.894 0.106 0.894
8 Nb 0.894 0.894 0.106
9 Tl 0.207 0.207 0.793
10 Tl 0.207 0.793 0.207
11 Tl 0.293 0.293 0.293
12 Tl 0.293 0.707 0.707
13 Tl 0.707 0.293 0.707
14 Tl 0.707 0.707 0.293
15 Tl 0.793 0.207 0.207
16 Tl 0.793 0.793 0.793

- calculated total energy (eV per atom) = -5.121
- M_tot (μB/atom) = 0.000
- E_form (meV per atom) = 1097
- space-group type = No. 217

# 3
Compound: NbTl
Source: Alexandria via LeMat-Bulk
Functional: PBE-GGA
Structure: relaxed

Cell: 5.665 5.665 5.717 Å, 90.00 90.00 90.00°
Positions (direct):
1 Nb 0.181 0.181 0.000
2 Nb 0.319 0.681 0.500
3 Nb 0.681 0.319 0.500
4 Nb 0.819 0.819 0.000
5 Tl 0.190 0.190 0.500
6 Tl 0.310 0.690 0.000
7 Tl 0.690 0.310 0.000
8 Tl 0.810 0.810 0.500

- calculated total energy (eV per atom) = -5.371
- M_tot (μB/atom) = 0.000
- E_form (meV per atom) = 847
- space-group type = No. 136

# 4
Compound: NbTl
Source: Alexandria via LeMat-Bulk
Functional: PBE-GGA
Structure: relaxed

Cell: 8.904 8.904 4.629 Å, 90.00 90.00 120.00°
Positions (direct):
1 Nb 0.110 0.555 0.250
2 Nb 0.445 0.555 0.250
3 Nb 0.445 0.890 0.250
4 Nb 0.555 0.110 0.750
5 Nb 0.555 0.445 0.750
6 Nb 0.890 0.445 0.750
7 Tl 0.200 0.400 0.750
8 Tl 0.200 0.800 0.750
9 Tl 0.400 0.200 0.250
10 Tl 0.600 0.800 0.750
11 Tl 0.800 0.200 0.250
12 Tl 0.800 0.600 0.250

- calculated total energy (eV per atom) = -5.729
- M_tot (μB/atom) = 0.000
- E_form (meV per atom) = 489
- space-group type = No. 194

# 5
Compound: NbTl
Source: Alexandria via LeMat-Bulk
Functional: PBE-GGA
Structure: relaxed

Cell: 5.706 5.706 5.706 Å, 90.00 90.00 90.00°
Positions (direct):
1 Nb 0.000 0.000 0.000
2 Nb 0.000 0.500 0.500
3 Nb 0.500 0.000 0.500
4 Nb 0.500 0.500 0.000
5 Tl 0.000 0.000 0.500
6 Tl 0.000 0.500 0.000
7 Tl 0.500 0.000 0.000
8 Tl 0.500 0.500 0.500

- calculated total energy (eV per atom) = -5.334
- M_tot (μB/atom) = 0.000
- E_form (meV per atom) = 884
- space-group type = No. 225

# 6
Compound: NbTl
Source: Alexandria via LeMat-Bulk
Functional: PBE-GGA
Structure: relaxed

Cell: 6.320 6.320 6.320 Å, 90.00 90.00 90.00°
Positions (direct):
1 Nb 0.000 0.000 0.000
2 Nb 0.000 0.500 0.500
3 Nb 0.500 0.000 0.500
4 Nb 0.500 0.500 0.000
5 Tl 0.250 0.250 0.750
6 Tl 0.250 0.750 0.250
7 Tl 0.750 0.250 0.250
8 Tl 0.750 0.750 0.750

- calculated total energy (eV per atom) = -4.362
- M_tot (μB/atom) = 0.000
- E_form (meV per atom) = 1856
- space-group type = No. 216

# 7
Compound: NbTl
Source: Alexandria via LeMat-Bulk
Functional: PBE-GGA
Structure: relaxed

Cell: 7.759 7.759 7.759 Å, 90.00 90.00 90.00°
Positions (direct):
1 Nb 0.000 0.250 0.500
2 Nb 0.000 0.750 0.500
3 Nb 0.250 0.500 0.000
4 Nb 0.500 0.000 0.250
5 Nb 0.500 0.000 0.750
6 Nb 0.750 0.500 0.000
7 Tl 0.000 0.500 0.250
8 Tl 0.000 0.500 0.750
9 Tl 0.250 0.000 0.500
10 Tl 0.500 0.250 0.000
11 Tl 0.500 0.750 0.000
12 Tl 0.750 0.000 0.500

- calculated total energy (eV per atom) = -4.293
- M_tot (μB/atom) = 0.000
- E_form (meV per atom) = 1925
- space-group type = No. 223

# 8
Compound: NbTl
Source: Alexandria via LeMat-Bulk
Functional: PBE-GGA
Structure: relaxed

Cell: 8.975 8.975 5.152 Å, 90.00 90.00 90.00°
Positions (direct):
1 Nb 0.049 0.375 0.000
2 Nb 0.125 0.549 0.500
3 Nb 0.375 0.951 0.000
4 Nb 0.451 0.125 0.500
5 Nb 0.549 0.875 0.500
6 Nb 0.625 0.049 0.000
7 Nb 0.875 0.451 0.500
8 Nb 0.951 0.625 0.000
9 Tl 0.133 0.207 0.500
10 Tl 0.207 0.867 0.500
11 Tl 0.293 0.633 0.000
12 Tl 0.367 0.293 0.000
13 Tl 0.633 0.707 0.000
14 Tl 0.707 0.367 0.000
15 Tl 0.793 0.133 0.500
16 Tl 0.867 0.793 0.500

- calculated total energy (eV per atom) = -5.661
- M_tot (μB/atom) = 0.000
- E_form (meV per atom) = 557
- space-group type = No. 87